[1]
# UTeP (PBE, relaxed)
# total DFT energy (no corrections)	-7.31	eV per atom
# raw formation energy	-0.701	eV per atom
# magnetization	0.61	μB/atom
# DOS(E_F)	5.79	states/eV/f.u.
data_UTeP
_chemical_formula_sum 'U4 Te4 P4'
_cell_length_a 3.9646
_cell_length_b 21.0148
_cell_length_c 3.9600
_cell_angle_alpha 90.00
_cell_angle_beta 90.00
_cell_angle_gamma 90.00
_symmetry_space_group_name_H-M 'C m m m'
_symmetry_Int_Tables_number 65
_symmetry_space_group_name_Hall '-C 2 2'
loop_
_atom_site_label
_atom_site_type_symbol
_atom_site_fract_x
_atom_site_fract_y
_atom_site_fract_z
U1 U 0.0000 0.0904 0.0000
Te1 Te 0.0000 0.3423 0.5000
P1 P 0.0000 0.0000 0.5000
P2 P 0.0000 0.5000 0.0000

***

[2]
# UTeP (PBE, relaxed)
# total DFT energy (no corrections)	-7.15	eV per atom
# raw formation energy	-0.537	eV per atom
# magnetization	0.51	μB/atom
# DOS(E_F)	4.56	states/eV/f.u.
data_UTeP
_chemical_formula_sum 'U2 Te2 P2'
_cell_length_a 3.7068
_cell_length_b 3.7068
_cell_length_c 10.2104
_cell_angle_alpha 90.00
_cell_angle_beta 90.00
_cell_angle_gamma 90.00
_symmetry_space_group_name_H-M 'I 4 m m'
_symmetry_Int_Tables_number 107
_symmetry_space_group_name_Hall 'I 4 -2'
loop_
_atom_site_label
_atom_site_type_symbol
_atom_site_fract_x
_atom_site_fract_y
_atom_site_fract_z
U1 U 0.0000 0.0000 0.0000
Te1 Te 0.0000 0.0000 0.3198
P1 P 0.0000 0.0000 0.5975

***

[3]
# U3Te3P (PBE, relaxed)
# total DFT energy (no corrections)	-7.42	eV per atom
# raw formation energy	-0.461	eV per atom
# magnetization	1.00	μB/atom
# DOS(E_F)	14.64	states/eV/f.u.
data_U3Te3P
_chemical_formula_sum 'U12 Te12 P4'
_cell_length_a 8.6989
_cell_length_b 12.2548
_cell_length_c 7.6146
_cell_angle_alpha 90.00
_cell_angle_beta 90.10
_cell_angle_gamma 90.00
_symmetry_space_group_name_H-M 'C 1 2/m 1'
_symmetry_Int_Tables_number 12
_symmetry_space_group_name_Hall '-C 2y'
loop_
_atom_site_label
_atom_site_type_symbol
_atom_site_fract_x
_atom_site_fract_y
_atom_site_fract_z
U1 U 0.0495 0.0000 0.1483
U2 U 0.1716 0.3444 0.3243
Te1 Te 0.0000 0.1481 0.5000
Te2 Te 0.0000 0.2398 0.0000
Te3 Te 0.1321 0.5000 0.6592
P1 P 0.2363 0.5000 0.0995

***

[4]
# UTeP (PBE, relaxed)
# total DFT energy (no corrections)	-7.00	eV per atom
# raw formation energy	-0.383	eV per atom
# magnetization	0.35	μB/atom
# DOS(E_F)	5.43	states/eV/f.u.
data_UTeP
_chemical_formula_sum 'U1 Te1 P1'
_cell_length_a 4.5324
_cell_length_b 4.5324
_cell_length_c 4.1108
_cell_angle_alpha 90.00
_cell_angle_beta 90.00
_cell_angle_gamma 120.00
_symmetry_space_group_name_H-M 'P -6 m 2'
_symmetry_Int_Tables_number 187
_symmetry_space_group_name_Hall 'P -6 2'
loop_
_atom_site_label
_atom_site_type_symbol
_atom_site_fract_x
_atom_site_fract_y
_atom_site_fract_z
U1 U 0.0000 0.0000 0.0000
Te1 Te 0.3333 0.6667 0.5000
P1 P 0.6667 0.3333 0.0000

***

[5]
# U2TeP (PBE, relaxed)
# total DFT energy (no corrections)	-8.48	eV per atom
# raw formation energy	-0.697	eV per atom
# magnetization	1.34	μB/atom
# DOS(E_F)	10.39	states/eV/f.u.
data_U2TeP
_chemical_formula_sum 'U6 Te3 P3'
_cell_length_a 3.9047
_cell_length_b 3.9047
_cell_length_c 22.7973
_cell_angle_alpha 90.00
_cell_angle_beta 90.00
_cell_angle_gamma 120.00
_symmetry_space_group_name_H-M 'R 3 m'
_symmetry_Int_Tables_number 160
_symmetry_space_group_name_Hall 'R 3 -2"'
loop_
_atom_site_label
_atom_site_type_symbol
_atom_site_fract_x
_atom_site_fract_y
_atom_site_fract_z
U1 U 0.0000 0.0000 0.0000
U2 U 0.0000 0.0000 0.1930
Te1 Te 0.0000 0.0000 0.7642
P1 P 0.0000 0.0000 0.5959

***

[6]
# VTe3P (PBE, relaxed)
# total DFT energy (no corrections)	-4.16	eV per atom
# raw formation energy	0.628	eV per atom
# magnetization	0.02	μB/atom
# DOS(E_F)	5.77	states/eV/f.u.
data_VTe3P
_chemical_formula_sum 'V1 Te3 P1'
_cell_length_a 5.1071
_cell_length_b 5.1071
_cell_length_c 5.1071
_cell_angle_alpha 90.00
_cell_angle_beta 90.00
_cell_angle_gamma 90.00
_symmetry_space_group_name_H-M 'P m -3 m'
_symmetry_Int_Tables_number 221
_symmetry_space_group_name_Hall '-P 4 2 3'
loop_
_atom_site_label
_atom_site_type_symbol
_atom_site_fract_x
_atom_site_fract_y
_atom_site_fract_z
V1 V 0.0000 0.0000 0.0000
Te1 Te 0.0000 0.0000 0.5000
P1 P 0.5000 0.5000 0.5000

***

[7]
# VTe2P (PBE, relaxed)
# total DFT energy (no corrections)	-4.93	eV per atom
# raw formation energy	0.269	eV per atom
# magnetization	0.00	μB/atom
# DOS(E_F)	2.89	states/eV/f.u.
data_VTe2P
_chemical_formula_sum 'V3 Te6 P3'
_cell_length_a 3.5030
_cell_length_b 3.5030
_cell_length_c 26.9039
_cell_angle_alpha 90.00
_cell_angle_beta 90.00
_cell_angle_gamma 120.00
_symmetry_space_group_name_H-M 'R -3 m'
_symmetry_Int_Tables_number 166
_symmetry_space_group_name_Hall '-R 3 2"'
loop_
_atom_site_label
_atom_site_type_symbol
_atom_site_fract_x
_atom_site_fract_y
_atom_site_fract_z
V1 V 0.0000 0.0000 0.0000
Te1 Te 0.0000 0.0000 0.3983
P1 P 0.0000 0.0000 0.5000

***

[8]
# V2TeP (PBE, relaxed)
# total DFT energy (no corrections)	-6.72	eV per atom
# raw formation energy	-0.024	eV per atom
# magnetization	0.34	μB/atom
# DOS(E_F)	4.59	states/eV/f.u.
data_V2TeP
_chemical_formula_sum 'V8 Te4 P4'
_cell_length_a 6.2758
_cell_length_b 6.2758
_cell_length_c 6.2758
_cell_angle_alpha 90.00
_cell_angle_beta 90.00
_cell_angle_gamma 90.00
_symmetry_space_group_name_H-M 'F m -3 m'
_symmetry_Int_Tables_number 225
_symmetry_space_group_name_Hall '-F 4 2 3'
loop_
_atom_site_label
_atom_site_type_symbol
_atom_site_fract_x
_atom_site_fract_y
_atom_site_fract_z
V1 V 0.2500 0.2500 0.2500
Te1 Te 0.0000 0.0000 0.0000
P1 P 0.0000 0.0000 0.5000